(1)
Here is an optimized crystal structure of Y2VRh from Alexandria via LeMat-Bulk. Energies are from PBE.

a b c (Å): 7.7553 7.7553 6.3144
angles (deg): 52.11 52.11 90.00
Closest atoms and distances in Å follow each position.
Element x y z (fractional)
Y (0.6587, 0.1250, 0.2500)  2 Rh 2.68
Y (0.0913, 0.6250, 0.2500)  2 Rh 2.68
Y (0.3750, 0.3413, 0.7500)  2 Rh 2.68
Y (0.8750, 0.9087, 0.7500)  2 Rh 2.68
Rh (0.0000, 0.0000, 0.0000)  4 Y 2.68
Rh (0.7500, 0.2500, 0.5000)  4 Y 2.68
V (0.5000, 0.5000, 0.0000)  4 Y 3.04, 2 Rh 3.13
V (0.2500, 0.7500, 0.5000)  4 Y 3.04, 2 Rh 3.13

Values from the calculation:
**Magnetic moment**: 7.0 μB/cell
**V**: 23.53 Å³/atom
**Crystal system**: tetragonal
**ΔH_f (0 K)**: 0.217 eV/atom
**Fermi-level density of states**: 6.185 states/eV/f.u.

(2)
Here is an optimized crystal structure of Y2VRh from Alexandria via LeMat-Bulk. Energies are from PBE.

a b c (Å): 4.9605 4.9605 4.9605
angles (deg): 60.00 60.00 60.00
Closest atoms and distances in Å follow each position.
Element x y z (fractional)
Y (0.2500, 0.2500, 0.2500)  4 Rh 3.04, 4 V 3.04
Y (0.7500, 0.7500, 0.7500)  4 V 3.04, 4 Rh 3.04
Rh (0.5000, 0.5000, 0.5000)  8 Y 3.04
V (0.0000, 0.0000, 0.0000)  8 Y 3.04

Values from the calculation:
**Magnetic moment**: 3.6 μB/cell
**V**: 21.58 Å³/atom
**Crystal system**: cubic
**ΔH_f (0 K)**: -0.176 eV/atom
**Fermi-level density of states**: 3.296 states/eV/f.u.